Entry 1:
A geometry-optimized LaNiB structure, computed with PBE-GGA.

Lattice parameters (Å, degrees): 4.250 3.685 3.685 120.00 90.00 90.00
Sites, in units of the cell vectors:
1 Ni 0.167 0.667 0.333
2 La 0.667 0.333 0.667
3 B 0.167 0.000 0.000

---

Entry 2:
A geometry-optimized AcTbIn structure, computed with PBE-GGA.

Lattice parameters (Å, degrees): 4.973 4.973 8.473 90.02 90.01 90.00
Sites, in units of the cell vectors:
1 Ac 0.314 0.367 0.270
2 Ac 0.813 0.866 0.569
3 Tb 0.314 0.866 0.920
4 Tb 0.814 0.366 0.920
5 In 0.313 0.366 0.675
6 In 0.814 0.867 0.164

---

| no. | offset from the most stable computed form (meV/atom) | volume (Å³/atom) | E_form (eV/atom) |
| --- | --- | --- | --- |
| 1 | 0 | 16.665 | -0.205 |
| 2 | 0 | 34.925 | -0.309 |